1.
{"formula": "TmSnHg4", "functional": "PBE-GGA", "state": "relaxed", "e_tot_ev_per_atom": -1.739, "formation_energy_kj_per_mol_atoms": -12.1, "vol_a3_per_cell": 149.7, "mass_density_g_cm3": 12.1, "magnetic_moment_mub_per_fu": 0.00, "cell": [[3.752, 0.000, 0.000], [0.000, 3.752, 0.000], [0.000, 0.000, 10.631]], "species": ["Tm", "Sn", "Hg", "Hg", "Hg", "Hg"], "frac_coords": [[0.000, 0.000, 0.000], [0.500, 0.500, 0.500], [0.000, 0.000, 0.325], [0.000, 0.000, 0.675], [0.500, 0.500, 0.162], [0.500, 0.500, 0.838]]}

2.
{"formula": "TmSn2Hg", "functional": "PBE-GGA", "state": "relaxed", "e_tot_ev_per_atom": -3.577, "formation_energy_kj_per_mol_atoms": -36.9, "vol_a3_per_cell": 98.7, "mass_density_g_cm3": 10.2, "magnetic_moment_mub_per_fu": 0.00, "relative_energy_mev_per_atom": 0.0, "cell": [[4.711, 0.000, 0.000], [0.000, 4.711, 0.000], [0.000, 0.000, 4.449]], "species": ["Tm", "Sn", "Sn", "Hg"], "frac_coords": [[0.000, 0.000, 0.000], [0.000, 0.500, 0.500], [0.500, 0.000, 0.500], [0.500, 0.500, 0.000]]}

3.
{"formula": "Tm2Sn4Hg", "functional": "PBE-GGA", "state": "relaxed", "e_tot_ev_per_atom": -3.980, "formation_energy_kj_per_mol_atoms": -35.9, "vol_a3_per_cell": 188.0, "mass_density_g_cm3": 9.0, "magnetic_moment_mub_per_fu": 0.00, "cell": [[4.467, -4.602, 0.000], [4.467, 4.602, 0.000], [0.000, 0.000, 4.572]], "species": ["Tm", "Tm", "Sn", "Sn", "Sn", "Sn", "Hg"], "frac_coords": [[0.242, 0.758, 0.000], [0.758, 0.242, 0.000], [0.000, 0.500, 0.500], [0.270, 0.270, 0.000], [0.500, 0.000, 0.500], [0.730, 0.730, 0.000], [0.000, 0.000, 0.500]]}

4.
{"formula": "Tm7Sn2Hg2", "functional": "PBE-GGA", "state": "relaxed", "e_tot_ev_per_atom": -3.792, "formation_energy_kj_per_mol_atoms": -15.8, "vol_a3_per_cell": 328.0, "mass_density_g_cm3": 9.2, "magnetic_moment_mub_per_fu": 0.00, "cell": [[4.062, -5.509, 0.000], [4.062, 5.509, 0.000], [0.000, 0.000, 7.328]], "species": ["Tm", "Tm", "Tm", "Tm", "Tm", "Tm", "Tm", "Sn", "Sn", "Hg", "Hg"], "frac_coords": [[0.000, 0.000, 0.000], [0.000, 0.500, 0.278], [0.000, 0.500, 0.722], [0.500, 0.000, 0.278], [0.500, 0.000, 0.722], [0.500, 0.500, 0.253], [0.500, 0.500, 0.747], [0.181, 0.181, 0.500], [0.819, 0.819, 0.500], [0.287, 0.713, 0.000], [0.713, 0.287, 0.000]]}